DFT (PBEsol) results for an optimized crystal structure of YAl4Zn.

a = 5.4236 Å, b = 5.4236 Å, c = 5.4236 Å
α = 60.00°, β = 60.00°, γ = 60.00°
Positions (direct):
Y1 0.0000 0.0000 0.0000
Al1 0.3752 0.3752 0.3752
Al2 0.3752 0.3752 0.8745
Al3 0.3752 0.8745 0.3752
Al4 0.8745 0.3752 0.3752
Zn1 0.7500 0.7500 0.7500

Properties
E_tot, eV per atom: -4.2506
Space-group type: No. 216
N(E_F), states/eV/f.u.: 4.03
Crystal system: cubic
Size of the total moment, μB/f.u.: 0.00
Theoretical density, g cm⁻³: 3.86
ΔE_f, eV/atom: -0.12